# GGA-PBE TcOsPt2, relaxed
data_TcOsPt2
_chemical_formula_sum 'Tc2 Os2 Pt4'
_symmetry_space_group_name_H-M 'P 1'
_symmetry_Int_Tables_number 1
_cell_length_a 5.463
_cell_length_b 7.989
_cell_length_c 2.736
_cell_angle_alpha 90.00
_cell_angle_beta 90.00
_cell_angle_gamma 90.00
loop_
_symmetry_equiv_pos_as_xyz
'x,y,z'
loop_
_atom_site_label
_atom_site_type_symbol
_atom_site_fract_x
_atom_site_fract_y
_atom_site_fract_z
Tc1 Tc 0.000 0.000 0.000
Tc2 Tc 0.500 0.500 0.000
Os1 Os 0.000 0.500 0.000
Os2 Os 0.500 0.000 0.000
Pt1 Pt 0.250 0.250 0.500
Pt2 Pt 0.250 0.750 0.500
Pt3 Pt 0.750 0.250 0.500
Pt4 Pt 0.750 0.750 0.500
# Magnetic moment   0.00 μB per formula unit
# SG   Cmmm, No. 65
# Energy above the most stable polymorph in this dataset   170 meV/atom
# Crystal system   orthorhombic
# Energy relative to the elements   0.08 eV/atom

***

# GGA-PBE TcOsPt2, relaxed
data_TcOsPt2
_chemical_formula_sum 'Tc2 Os2 Pt4'
_symmetry_space_group_name_H-M 'P 1'
_symmetry_Int_Tables_number 1
_cell_length_a 9.178
_cell_length_b 2.755
_cell_length_c 4.798
_cell_angle_alpha 90.00
_cell_angle_beta 100.01
_cell_angle_gamma 90.00
loop_
_symmetry_equiv_pos_as_xyz
'x,y,z'
loop_
_atom_site_label
_atom_site_type_symbol
_atom_site_fract_x
_atom_site_fract_y
_atom_site_fract_z
Tc1 Tc 0.000 0.000 0.000
Tc2 Tc 0.500 0.500 0.000
Os1 Os 0.000 0.500 0.500
Os2 Os 0.500 0.000 0.500
Pt1 Pt 0.249 0.000 0.751
Pt2 Pt 0.251 0.500 0.249
Pt3 Pt 0.749 0.500 0.751
Pt4 Pt 0.751 0.000 0.249
# Magnetic moment   0.00 μB per formula unit
# SG   C2/m, No. 12
# Energy above the most stable polymorph in this dataset   150 meV/atom
# Crystal system   monoclinic
# Energy relative to the elements   0.06 eV/atom

***

# GGA-PBE Tc2OsPt, relaxed
data_Tc2OsPt
_chemical_formula_sum 'Tc2 Os1 Pt1'
_symmetry_space_group_name_H-M 'P 1'
_symmetry_Int_Tables_number 1
_cell_length_a 2.737
_cell_length_b 3.920
_cell_length_c 5.492
_cell_angle_alpha 90.00
_cell_angle_beta 90.00
_cell_angle_gamma 90.00
loop_
_symmetry_equiv_pos_as_xyz
'x,y,z'
loop_
_atom_site_label
_atom_site_type_symbol
_atom_site_fract_x
_atom_site_fract_y
_atom_site_fract_z
Tc1 Tc 0.000 0.000 0.233
Tc2 Tc 0.000 0.000 0.767
Os1 Os 0.500 0.500 0.000
Pt1 Pt 0.500 0.500 0.500
# Magnetic moment   0.00 μB per formula unit
# SG   Pmmm, No. 47
# Energy above the most stable polymorph in this dataset   59 meV/atom
# Crystal system   orthorhombic
# Energy relative to the elements   -0.08 eV/atom